No. 1
This record from Alexandria via LeMat-Bulk describes a relaxed GaGeN3 crystal. The functional is PBE-GGA.

Cell lengths 3.7966, 3.7966, 3.7966 Å; angles 90.00, 90.00, 90.00 degrees
Closest atoms and distances in Å follow each position.
Sites, in units of the cell vectors:
Ga1 0.0000 0.0000 0.0000  12 N 2.68
Ge1 0.5000 0.5000 0.5000  6 N 1.90
N1 0.0000 0.5000 0.5000  2 Ge 1.90
N2 0.5000 0.0000 0.5000  2 Ge 1.90
N3 0.5000 0.5000 0.0000  2 Ge 1.90

Output
- E_form (uncorrected) (kcal/mol of atoms) = 33.7

---

No. 2
This record from Alexandria via LeMat-Bulk describes a relaxed GaGeN crystal. The functional is PBE-GGA.

Cell lengths 9.7609, 3.1723, 5.8714 Å; angles 90.00, 90.00, 90.00 degrees
Closest atoms and distances in Å follow each position.
Sites, in units of the cell vectors:
Ga1 0.0794 0.2500 0.1684  3 N 2.02-2.12
Ga2 0.4206 0.7500 0.6684  3 N 2.02-2.12
Ga3 0.5794 0.2500 0.3316  3 N 2.02-2.12
Ga4 0.9206 0.7500 0.8316  3 N 2.02-2.12
Ge1 0.1887 0.2500 0.5970  1 N 1.87
Ge2 0.3113 0.7500 0.0970  1 N 1.87
Ge3 0.6887 0.2500 0.9030  1 N 1.87
Ge4 0.8113 0.7500 0.4030  1 N 1.87
N1 0.0476 0.2500 0.8120  1 Ge 1.87, 2 Ga 2.02
N2 0.4524 0.7500 0.3120  1 Ge 1.87, 2 Ga 2.02
N3 0.5476 0.2500 0.6880  1 Ge 1.87, 2 Ga 2.02
N4 0.9524 0.7500 0.1880  1 Ge 1.87, 2 Ga 2.02

Output
- E_form (uncorrected) (kcal/mol of atoms) = 2.7

---

No. 3
This record from Alexandria via LeMat-Bulk describes a relaxed Ga2Ge3N4 crystal. The functional is PBE-GGA.

Cell lengths 6.2577, 6.2577, 6.7418 Å; angles 97.48, 97.48, 80.25 degrees
Closest atoms and distances in Å follow each position.
Sites, in units of the cell vectors:
Ga1 0.1654 0.3078 0.4637  3 N 1.92-2.07
Ga2 0.3078 0.1654 0.9637  3 N 1.92-2.07
Ga3 0.6922 0.8346 0.0363  3 N 1.92-2.07
Ga4 0.8346 0.6922 0.5363  3 N 1.92-2.07
Ge1 0.1126 0.8874 0.2500  2 N 1.97
Ge2 0.1887 0.6180 0.8887  3 N 1.95-2.04
Ge3 0.3820 0.8113 0.6113  3 N 1.95-2.04
Ge4 0.6180 0.1887 0.3887  3 N 1.95-2.04
Ge5 0.8113 0.3820 0.1113  3 N 1.95-2.04
Ge6 0.8874 0.1126 0.7500  2 N 1.97
N1 0.0998 0.1805 0.1662  2 Ge 1.97-2.04, 2 Ga 1.99-2.07
N2 0.1805 0.0998 0.6662  2 Ge 1.97-2.04, 2 Ga 1.99-2.07
N3 0.1824 0.5985 0.5881  1 Ga 1.92, 2 Ge 1.95-2.01
N4 0.4015 0.8176 0.9119  1 Ga 1.92, 2 Ge 1.95-2.01
N5 0.5985 0.1824 0.0881  1 Ga 1.92, 2 Ge 1.95-2.01
N6 0.8176 0.4015 0.4119  1 Ga 1.92, 2 Ge 1.95-2.01
N7 0.8195 0.9002 0.3338  2 Ge 1.97-2.04, 2 Ga 1.99-2.07
N8 0.9002 0.8195 0.8338  2 Ge 1.97-2.04, 2 Ga 1.99-2.07

Output
- E_form (uncorrected) (kcal/mol of atoms) = 2.6

---

No. 4
This record from Alexandria via LeMat-Bulk describes a relaxed Ga3GeN crystal. The functional is PBE-GGA.

Cell lengths 4.8393, 4.8393, 4.8393 Å; angles 90.00, 90.00, 90.00 degrees
Closest atoms and distances in Å follow each position.
Sites, in units of the cell vectors:
Ga1 0.0000 0.0000 0.5000  2 Ge 2.42
Ga2 0.0000 0.5000 0.0000  2 Ge 2.42
Ga3 0.5000 0.0000 0.0000  2 Ge 2.42
Ge1 0.0000 0.0000 0.0000  6 Ga 2.42
N1 0.5000 0.5000 0.5000  12 Ga 3.42

Output
- E above lowest polymorph (meV/atom) = 970
- E_form (uncorrected) (kcal/mol of atoms) = 31.8

---

No. 5
This record from Alexandria via LeMat-Bulk describes a relaxed Ga3Ge3N5 crystal. The functional is PBE-GGA.

Cell lengths 5.4389, 6.8185, 9.4106 Å; angles 69.25, 84.77, 75.04 degrees
Closest atoms and distances in Å follow each position.
Sites, in units of the cell vectors:
Ga1 0.1888 0.1466 0.2293  4 N 1.91-2.07
Ga2 0.2842 0.6065 0.9045  4 N 1.97-2.03
Ga3 0.2984 0.6549 0.5394  4 N 1.92-2.03
Ga4 0.7016 0.3451 0.4606  4 N 1.92-2.03
Ga5 0.7158 0.3935 0.0955  4 N 1.97-2.03
Ga6 0.8112 0.8534 0.7707  4 N 1.91-2.07
Ge1 0.1424 0.5539 0.2487  3 N 1.90-1.98
Ge2 0.1736 0.1068 0.8875  2 N 1.96-2.06
Ge3 0.2819 0.1304 0.5685  3 N 1.99-2.12
Ge4 0.7181 0.8696 0.4315  3 N 1.99-2.12
Ge5 0.8264 0.8932 0.1125  2 N 1.96-2.06
Ge6 0.8576 0.4461 0.7513  3 N 1.90-1.98
N1 0.0188 0.8645 0.9193  2 Ga 1.91-2.01, 2 Ge 1.96-2.06
N2 0.1038 0.6239 0.7229  3 Ga 1.92-2.07, 1 Ge 1.97
N3 0.3167 0.4367 0.4382  2 Ge 1.90-2.06, 2 Ga 2.01-2.03
N4 0.3393 0.9533 0.4187  2 Ga 1.91-2.01, 2 Ge 1.99-2.12
N5 0.3522 0.3962 0.1210  3 Ga 1.97-2.03, 1 Ge 1.98
N6 0.6478 0.6038 0.8790  3 Ga 1.97-2.03, 1 Ge 1.98
N7 0.6607 0.0467 0.5813  2 Ga 1.91-2.01, 2 Ge 1.99-2.12
N8 0.6833 0.5633 0.5618  2 Ge 1.90-2.06, 2 Ga 2.01-2.03
N9 0.8962 0.3761 0.2771  3 Ga 1.92-2.07, 1 Ge 1.97
N10 0.9812 0.1355 0.0807  2 Ga 1.91-2.01, 2 Ge 1.96-2.06

Output
- E_form (uncorrected) (kcal/mol of atoms) = -1.1

---

No. 6
This record from Alexandria via LeMat-Bulk describes a relaxed GaGeN2 crystal. The functional is PBE-GGA.

Cell lengths 3.9380, 3.9380, 3.9380 Å; angles 60.00, 60.00, 60.00 degrees
Closest atoms and distances in Å follow each position.
Sites, in units of the cell vectors:
Ga1 0.0000 0.0000 0.0000  8 N 2.41
Ge1 0.5000 0.5000 0.5000  8 N 2.41
N1 0.2500 0.2500 0.2500  4 Ge 2.41, 4 Ga 2.41
N2 0.7500 0.7500 0.7500  4 Ge 2.41, 4 Ga 2.41

Output
- E above lowest polymorph (meV/atom) = 1143
- E_form (uncorrected) (kcal/mol of atoms) = 29.3

---

No. 7
This record from Alexandria via LeMat-Bulk describes a relaxed GaGe2N crystal. The functional is PBE-GGA.

Cell lengths 6.2648, 6.2648, 6.2648 Å; angles 130.39, 130.39, 72.79 degrees
Closest atoms and distances in Å follow each position.
Sites, in units of the cell vectors:
Ga1 0.0000 0.0000 0.0000  4 Ge 2.46
Ga2 0.7500 0.2500 0.5000  4 Ge 2.46
Ge1 0.1883 0.6250 0.0633  2 N 2.07
Ge2 0.3750 0.4383 0.5633  2 N 2.07
Ge3 0.5617 0.1250 0.9367  2 N 2.07
Ge4 0.8750 0.8117 0.4367  2 N 2.07
N1 0.2500 0.7500 0.5000  4 Ge 2.07
N2 0.5000 0.5000 0.0000  4 Ge 2.07

Output
- E above lowest polymorph (meV/atom) = 0
- E_form (uncorrected) (kcal/mol of atoms) = 5.8

---

No. 8
This record from Alexandria via LeMat-Bulk describes a relaxed Ga3GeN crystal. The functional is PBE-GGA.

Cell lengths 4.3305, 4.3305, 4.3305 Å; angles 90.00, 90.00, 90.00 degrees
Closest atoms and distances in Å follow each position.
Sites, in units of the cell vectors:
Ga1 0.0000 0.0000 0.5000  2 N 2.17
Ga2 0.0000 0.5000 0.0000  2 N 2.17
Ga3 0.5000 0.0000 0.0000  2 N 2.17
Ge1 0.5000 0.5000 0.5000  12 Ga 3.06
N1 0.0000 0.0000 0.0000  6 Ga 2.17

Output
- E above lowest polymorph (meV/atom) = 0
- E_form (uncorrected) (kcal/mol of atoms) = 9.4

---

No. 9
This record from Alexandria via LeMat-Bulk describes a relaxed GaGe3N crystal. The functional is PBE-GGA.

Cell lengths 4.4077, 4.4077, 4.4077 Å; angles 90.00, 90.00, 90.00 degrees
Closest atoms and distances in Å follow each position.
Sites, in units of the cell vectors:
Ga1 0.0000 0.0000 0.0000  12 Ge 3.12
Ge1 0.0000 0.5000 0.5000  2 N 2.20
Ge2 0.5000 0.0000 0.5000  2 N 2.20
Ge3 0.5000 0.5000 0.0000  2 N 2.20
N1 0.5000 0.5000 0.5000  6 Ge 2.20

Output
- E above lowest polymorph (meV/atom) = 0
- E_form (uncorrected) (kcal/mol of atoms) = 14.4

---

No. 10
This record from Alexandria via LeMat-Bulk describes a relaxed Ga2GeNO crystal. The functional is PBE-GGA.

Cell lengths 4.1755, 4.1755, 4.0155 Å; angles 90.00, 90.00, 90.00 degrees
Closest atoms and distances in Å follow each position.
Sites, in units of the cell vectors:
Ga1 0.0000 0.5000 0.0000  2 N 2.09
Ga2 0.5000 0.0000 0.0000  2 N 2.09
Ge1 0.0000 0.0000 0.5000  8 Ga 2.90, 4 O 2.95
N1 0.5000 0.5000 0.0000  2 O 2.01, 4 Ga 2.09
O1 0.5000 0.5000 0.5000  2 N 2.01

Output
- E_form (uncorrected) (kcal/mol of atoms) = 14.4

---

No. 11
This record from Alexandria via LeMat-Bulk describes a relaxed GaGeP2N crystal. The functional is PBE-GGA.

Cell lengths 4.0560, 4.0560, 4.6122 Å; angles 90.00, 90.00, 90.00 degrees
Closest atoms and distances in Å follow each position.
Sites, in units of the cell vectors:
Ga1 0.0000 0.0000 0.0000  4 Ge 2.87, 8 P 3.07
Ge1 0.5000 0.5000 0.0000  2 N 2.31
P1 0.0000 0.5000 0.5000  2 N 2.03
P2 0.5000 0.0000 0.5000  2 N 2.03
N1 0.5000 0.5000 0.5000  4 P 2.03

Output
- E_form (uncorrected) (kcal/mol of atoms) = 17.4